TbAl2Au9: relaxed, GGA-PBE.

Computed properties:
energy of formation from the pure elements: -4.2 eV/f.u.
space-group type: I4_1/amd

Cell lengths 8.8404, 8.8404, 8.8404 Å; angles 98.70, 98.70, 134.23 degrees
Last column: nearest neighbours and their distance in Å.
Positions (direct):
Tb: 0.3750 0.6250 0.7500  10 Au 3.21-3.44
Tb: 0.6250 0.3750 0.2500  10 Au 3.21-3.44
Al: 0.0000 0.0000 0.0000  8 Au 2.62-2.83
Al: 0.0000 0.0000 0.5000  8 Au 2.62-2.83
Al: 0.0000 0.5000 0.0000  8 Au 2.62-2.83
Al: 0.5000 0.0000 0.5000  8 Au 2.62-2.83
Au: 0.0945 0.5407 0.3086  2 Al 2.62-2.83, 5 Au 2.75-2.92
Au: 0.0945 0.7859 0.5538  2 Al 2.62-2.83, 5 Au 2.75-2.92
Au: 0.1250 0.8750 0.2500  8 Au 2.91, 4 Al 3.01
Au: 0.2141 0.2680 0.3086  2 Al 2.62-2.83, 5 Au 2.75-2.92
Au: 0.2141 0.9055 0.9462  2 Al 2.62-2.83, 5 Au 2.75-2.92
Au: 0.2680 0.2141 0.8086  2 Al 2.62-2.83, 5 Au 2.75-2.92
Au: 0.2680 0.4593 0.0538  2 Al 2.62-2.83, 5 Au 2.75-2.92
Au: 0.4593 0.2680 0.5538  2 Al 2.62-2.83, 5 Au 2.75-2.92
Au: 0.4593 0.9055 0.1914  2 Al 2.62-2.83, 5 Au 2.75-2.92
Au: 0.5407 0.0945 0.8086  2 Al 2.62-2.83, 5 Au 2.75-2.92
Au: 0.5407 0.7320 0.4462  2 Al 2.62-2.83, 5 Au 2.75-2.92
Au: 0.7320 0.5407 0.9462  2 Al 2.62-2.83, 5 Au 2.75-2.92
Au: 0.7320 0.7859 0.1914  2 Al 2.62-2.83, 5 Au 2.75-2.92
Au: 0.7859 0.0945 0.0538  2 Al 2.62-2.83, 5 Au 2.75-2.92
Au: 0.7859 0.7320 0.6914  2 Al 2.62-2.83, 5 Au 2.75-2.92
Au: 0.8750 0.1250 0.7500  8 Au 2.91, 4 Al 3.01
Au: 0.9055 0.2141 0.4462  2 Al 2.62-2.83, 5 Au 2.75-2.92
Au: 0.9055 0.4593 0.6914  2 Al 2.62-2.83, 5 Au 2.75-2.92



Sb2TeW: relaxed, GGA-PBE.

Computed properties:
space-group type: Immm
uncorrected formation energy: 533 meV/atom

Cell lengths 6.9463, 6.9463, 6.9463 Å; angles 151.96, 140.19, 49.40 degrees
Last column: nearest neighbours and their distance in Å.
Positions (direct):
Sb: 0.1817 0.1817 0.0000  2 W 2.84
Sb: 0.8183 0.8183 0.0000  2 W 2.84
Te: 0.5000 0.0000 0.5000  4 W 2.90
W: 0.0000 0.5000 0.5000  4 Sb 2.84, 4 Te 2.90



Pr3Se3O: relaxed, GGA-PBE.

Computed properties:
E above lowest polymorph: 0.114 eV/atom
space-group type: C2/m
uncorrected formation energy: -2116 meV/atom

Cell lengths 7.4358, 7.4358, 7.2807 Å; angles 95.47, 95.47, 111.63 degrees
Last column: nearest neighbours and their distance in Å.
Positions (direct):
Pr: 0.0961 0.0961 0.3103  2 O 2.34-2.43
Pr: 0.1648 0.4641 0.7882  1 O 2.34
Pr: 0.4641 0.1648 0.7882  1 O 2.34
Pr: 0.5359 0.8352 0.2118  1 O 2.34
Pr: 0.8352 0.5359 0.2118  1 O 2.34
Pr: 0.9039 0.9039 0.6897  2 O 2.34-2.43
Se: 0.1619 0.8381 0.0000  6 Pr 3.02-3.27
Se: 0.2372 0.7628 0.5000  6 Pr 3.14-3.38, 2 O 3.36
Se: 0.3900 0.3900 0.1523  5 Pr 2.88-3.20, 1 Se 3.11
Se: 0.6100 0.6100 0.8477  5 Pr 2.88-3.20, 1 Se 3.11
Se: 0.7628 0.2372 0.5000  6 Pr 3.14-3.38, 2 O 3.36
Se: 0.8381 0.1619 0.0000  6 Pr 3.02-3.27
O: 0.1822 0.1822 0.6327  4 Pr 2.34-2.43
O: 0.8178 0.8178 0.3673  4 Pr 2.34-2.43



ZrC4: relaxed, GGA-PBE.

Computed properties:
E above lowest polymorph: 0.000 eV/atom
energy of formation from the pure elements: 4.8 eV/f.u.
space-group type: P-3m1

Cell lengths 3.1134, 3.1134, 6.2981 Å; angles 90.00, 90.00, 120.00 degrees
Last column: nearest neighbours and their distance in Å.
Positions (direct):
Zr: 0.0000 0.0000 0.0000  6 C 2.29
C: 0.3333 0.6667 0.2262  1 C 1.35
C: 0.3333 0.6667 0.4404  1 C 1.35
C: 0.6667 0.3333 0.5596  1 C 1.35
C: 0.6667 0.3333 0.7738  1 C 1.35



PrEr2Cr2C4: relaxed, GGA-PBE.

Computed properties:
energy of formation from the pure elements: -0.9 eV/f.u.
space-group type: C2/m

Cell lengths 6.9453, 6.9453, 5.8994 Å; angles 112.65, 112.65, 27.52 degrees
Last column: nearest neighbours and their distance in Å.
Positions (direct):
Pr: 0.0000 0.0000 0.0000  6 C 2.75-2.84, 4 Cr 2.94, 2 Er 3.02
Er: 0.1481 0.1481 0.5406  7 C 2.45-2.68
Er: 0.8519 0.8519 0.4594  7 C 2.45-2.68
Cr: 0.3243 0.3243 0.0265  4 C 2.01-2.25
Cr: 0.6757 0.6757 0.9735  4 C 2.01-2.25
C: 0.2220 0.2220 0.1993  3 Cr 2.01-2.06
C: 0.4784 0.4784 0.3684  1 C 1.43
C: 0.5216 0.5216 0.6316  1 C 1.43
C: 0.7780 0.7780 0.8007  3 Cr 2.01-2.06



AlNiIrRh2: relaxed, GGA-PBE.

Computed properties:
energy of formation from the pure elements: 4.6 eV/f.u.
space-group type: P4/mmm

Cell lengths 4.3693, 4.3693, 4.1840 Å; angles 90.00, 90.00, 90.00 degrees
Last column: nearest neighbours and their distance in Å.
Positions (direct):
Al: 0.0000 0.0000 0.0000  2 Ni 2.09, 4 Rh 2.18
Ni: 0.0000 0.0000 0.5000  2 Al 2.09
Ir: 0.5000 0.5000 0.5000  8 Rh 3.02, 4 Ni 3.09
Rh: 0.0000 0.5000 0.0000  2 Al 2.18
Rh: 0.5000 0.0000 0.0000  2 Al 2.18